# 1
DFT (PBE) results for an optimized crystal structure of KNbAu2Se4.

The space group is Ama2 (No. 40) and the conventional cell measures 8.244, 19.452 and 6.032 Å, with angles of 90.00, 90.00 and 90.00 degrees. The inequivalent atoms are K at (0.250, 0.184, 0.000), Nb at (0.250, 0.387, 0.718), Au at (0.000, 0.000, 0.243), Au at (0.250, 0.377, 0.216), Se at (0.001, 0.118, 0.448), Se at (0.250, 0.279, 0.507) and Se at (0.250, 0.491, 0.469).

The calculated total energy is -4.580 eV/atom. The value obtained for the calculated volume is 241.81 Å³/f.u.

# 2
DFT (PBE) results for an optimized crystal structure of DyErGa4Ag2.

The space group is Amm2 (No. 38) and the conventional cell measures 6.624, 4.520 and 10.460 Å, with angles of 90.00, 90.00 and 90.00 degrees. The inequivalent atoms are Dy at (0.000, 0.000, 0.000), Er at (0.500, 0.000, 0.185), Ga at (0.200, 0.000, 0.710), Ga at (0.301, 0.000, 0.474), Ag at (0.000, 0.000, 0.292) and Ag at (0.500, 0.000, 0.892).

The calculated total energy is -3.832 eV/atom. The value obtained for the calculated volume is 156.59 Å³/f.u.

# 3
DFT (PBE) results for an optimized crystal structure of RbCd4P3.

The space group is R-3m (No. 166, hexagonal axes) and the conventional cell measures 4.3869, 4.3869 and 36.1177 Å, with angles of 90.00, 90.00 and 120.00 degrees. The inequivalent atoms are Rb at (0.0000, 0.0000, 0.0000), Cd at (0.0000, 0.0000, 0.1976), Cd at (0.0000, 0.0000, 0.4111), P at (0.0000, 0.0000, 0.2693) and P at (0.0000, 0.0000, 0.5000).

The calculated total energy is -2.788 eV/atom. The value obtained for the calculated volume is 200.65 Å³/f.u.